Computed, not measured: crystalline ZrMo2Ir at its relaxed geometry at the PBE-GGA level of DFT.

Output
Total magnetization (μB per formula unit): 0.000
ΔE to the lowest computed polymorph (eV/atom): 0.1827
Formation enthalpy at 0 K (meV per atom): -14
SG: P4/mmm (123)

Lattice parameters (Å, degrees): 2.795 2.795 8.706 90.00 90.00 90.06
Positions (direct):
Ir 0.500 0.500 0.750
Mo 0.000 0.000 0.971
Mo 0.000 0.000 0.529
Zr 0.500 0.500 0.250